(1)
This record from the Alexandria database describes TlAgSn after structural relaxation. The functional is PBE.

The structure in extended XYZ format:
```
6
Lattice="3.252 0.000 0.000 -0.813 6.812 0.000 -0.144 -1.955 6.865" Properties=species:S:1:pos:R:3 pbc="T T T"
Tl 0.354 1.877 0.476
Tl 1.942 2.981 6.388
Ag 1.547 -0.537 1.957
Ag 0.749 5.394 4.908
Sn -0.101 0.978 3.977
Sn 2.396 3.880 2.888
```

Results
formation enthalpy at 0 K	0.24	eV/f.u.
electronic total energy	-2.99	eV/atom
space-group type	P-1
ΔE to the lowest computed polymorph	4.5	kJ per mole of atoms



(2)
This record from the Alexandria database describes CsSr2Rh after structural relaxation. The functional is PBE.

The structure in extended XYZ format:
```
4
Lattice="2.251 1.299 12.101 -2.251 1.299 12.101 0.000 -2.599 12.101" Properties=species:S:1:pos:R:3 pbc="T T T"
Cs 0.000 0.000 0.000
Sr 0.000 0.000 4.567
Sr 0.000 0.000 31.737
Rh 0.000 0.000 18.152
```

Results
formation enthalpy at 0 K	0.00	eV/f.u.
electronic total energy	-2.89	eV/atom
space-group type	R-3m
ΔE to the lowest computed polymorph	0.0	kJ per mole of atoms



(3)
This record from the Alexandria database describes Sc2CuHgPd after structural relaxation. The functional is PBE.

The structure in extended XYZ format:
```
5
Lattice="5.238 0.000 0.000 0.000 5.238 0.000 0.000 0.000 4.996" Properties=species:S:1:pos:R:3 pbc="T T T"
Sc 0.000 2.619 0.000
Sc 2.619 0.000 0.000
Cu 0.000 0.000 2.498
Hg 2.619 2.619 0.000
Pd 2.619 2.619 2.498
```

Results
formation enthalpy at 0 K	3.47	eV/f.u.
electronic total energy	-3.76	eV/atom
space-group type	P4/mmm



(4)
This record from the Alexandria database describes La4TlBi after structural relaxation. The functional is PBE.

The structure in extended XYZ format:
```
12
Lattice="4.585 -7.406 0.000 4.585 7.406 0.000 -2.515 0.000 5.984" Properties=species:S:1:pos:R:3 pbc="T T T"
La 1.254 4.585 5.607
La 1.230 1.293 3.964
La 4.143 4.585 3.369
La 2.488 -1.293 0.972
La 4.166 1.293 5.013
La 2.511 -4.585 2.615
La 5.424 -1.293 2.020
La 5.400 -4.585 0.377
Tl 3.956 7.383 1.496
Tl 2.698 -7.383 4.488
Bi 3.956 1.739 1.496
Bi 2.698 -1.739 4.488
```

Results
formation enthalpy at 0 K	-2.74	eV/f.u.
electronic total energy	-4.78	eV/atom
space-group type	C2/c



(5)
This record from the Alexandria database describes LiMgSi2 after structural relaxation. The functional is PBE.

The structure in extended XYZ format:
```
4
Lattice="5.296 -1.432 0.000 5.296 1.432 0.000 -1.306 0.000 4.540" Properties=species:S:1:pos:R:3 pbc="T T T"
Li 0.000 0.000 0.000
Mg 2.332 0.000 2.085
Si 5.067 0.000 2.373
Si 6.499 0.000 4.234
```

Results
electronic total energy	-3.60	eV/atom
space-group type	Cm
formation energy (no corrections)	-0.061	eV per formula unit



(6)
This record from the Alexandria database describes Ba2ZrRh after structural relaxation. The functional is PBE.

The structure in extended XYZ format:
```
4
Lattice="3.745 0.000 0.000 0.000 4.805 0.000 0.000 0.000 6.692" Properties=species:S:1:pos:R:3 pbc="T T T"
Ba 0.000 0.000 1.579
Ba 0.000 0.000 5.113
Zr 1.872 2.403 3.346
Rh 1.872 2.403 0.000
```

Results
formation enthalpy at 0 K	2.36	eV/f.u.
electronic total energy	-4.35	eV/atom
space-group type	Pmmm
ΔE to the lowest computed polymorph	62.8	kJ per mole of atoms



(7)
This record from the Alexandria database describes K3Ce2PrS6 after structural relaxation. The functional is PBE.

The structure in extended XYZ format:
```
12
Lattice="3.657 -6.333 0.000 3.657 6.333 0.000 -2.439 0.000 7.374" Properties=species:S:1:pos:R:3 pbc="T T T"
K 0.000 0.000 0.000
K 3.657 2.105 0.000
K 3.657 -2.105 0.000
Ce 2.437 4.222 3.687
Ce 2.437 -4.222 3.687
Pr 2.437 0.000 3.687
S 1.210 2.126 2.161
S -0.018 0.000 5.213
S 1.210 -2.126 2.161
S 3.665 2.126 5.213
S 4.893 0.000 2.161
S 3.665 -2.126 5.213
```

Results
electronic total energy	-5.53	eV/atom
space-group type	C2/m
formation energy (no corrections)	-21.683	eV per formula unit



(8)
This record from the Alexandria database describes InMo2Ru after structural relaxation. The functional is PBE.

The structure in extended XYZ format:
```
4
Lattice="1.442 0.833 9.223 -1.442 0.833 9.223 0.000 -1.665 9.223" Properties=species:S:1:pos:R:3 pbc="T T T"
In 0.000 0.000 0.000
Mo 0.000 0.000 6.747
Mo 0.000 0.000 20.921
Ru 0.000 0.000 13.834
```

Results
formation enthalpy at 0 K	1.25	eV/f.u.
electronic total energy	-8.11	eV/atom
space-group type	R-3m